DFT (GGA+U) results for a relaxed structure of PuNi2GeO6.

Summary:
final energy	-6.72	eV/atom
volume	13.32	Å³/atom
spin magnetization	0.398	μB/atom
Fermi-level density of states	4.423	states/eV per cell

a b c (Å): 4.0236 5.7546 5.7546
angles (deg): 90.00 90.00 90.00
Closest atoms and distances in Å follow each position.
Atoms (fractional coordinates):
Ni 0.8108 0.0000 0.5000  4 O 2.05
Ni 0.8108 0.5000 0.0000  4 O 2.05
O 0.7493 0.2340 0.2340  1 Ge 1.93, 2 Ni 2.05
O 0.2296 0.0000 0.0000  1 Ge 1.78
O 0.7493 0.2340 0.7660  1 Ge 1.93, 2 Ni 2.05
O 0.2164 0.5000 0.5000  2 Pu 1.99-2.04
O 0.7493 0.7660 0.2340  1 Ge 1.93, 2 Ni 2.05
O 0.7493 0.7660 0.7660  1 Ge 1.93, 2 Ni 2.05
Ge 0.6714 0.0000 0.0000  5 O 1.78-1.93
Pu 0.7104 0.5000 0.5000  6 O 1.99-2.17